Sr6CuN2, relaxed, DFT GGA-PBE; N(E_F) = 4.094 states/eV/f.u.; crystal system = monoclinic
1.0
7.239 -2.262 0.000
7.239 2.262 0.000
-1.601 0.000 9.931
Sr Cu N
6 1 2
Direct
0.109 0.109 0.244 Sr
0.183 0.183 0.903 Sr
0.360 0.360 0.385 Sr
0.640 0.640 0.615 Sr
0.817 0.817 0.097 Sr
0.891 0.891 0.756 Sr
0.000 0.000 0.500 Cu
0.255 0.255 0.161 N
0.745 0.745 0.839 N

***

Sr2Cu2N, relaxed, DFT GGA-PBE; N(E_F) = 1.830 states/eV/f.u.; crystal system = tetragonal; energy above the lowest structure with this stoichiometry = 114 kJ/mol of formula units
1.0
7.069 0.000 0.000
0.000 7.069 0.000
0.000 0.000 4.211
Sr Cu N
4 4 2
Direct
0.194 0.306 0.000 Sr
0.306 0.806 0.000 Sr
0.694 0.194 0.000 Sr
0.806 0.694 0.000 Sr
0.115 0.615 0.500 Cu
0.385 0.115 0.500 Cu
0.615 0.885 0.500 Cu
0.885 0.385 0.500 Cu
0.000 0.000 0.500 N
0.500 0.500 0.500 N

***

Sr2CuN, relaxed, DFT GGA-PBE; N(E_F) = 1.316 states/eV/f.u.; crystal system = trigonal
1.0
1.901 1.098 8.702
-1.901 1.098 8.702
0.000 -2.196 8.702
Sr Cu N
2 1 1
Direct
0.114 0.114 0.114 Sr
0.886 0.886 0.886 Sr
0.000 0.000 0.000 Cu
0.500 0.500 0.500 N

***

Sr2Cu2N, relaxed, DFT GGA-PBE; N(E_F) = 2.625 states/eV/f.u.; crystal system = tetragonal; energy above the lowest structure with this stoichiometry = 0 kJ/mol of formula units
1.0
-2.904 2.904 3.136
2.904 -2.904 3.136
2.904 2.904 -3.136
Sr Cu N
2 2 1
Direct
0.250 0.750 0.500 Sr
0.750 0.250 0.500 Sr
0.194 0.194 0.000 Cu
0.806 0.806 0.000 Cu
0.500 0.500 0.000 N

***

SrTbCuN2, relaxed, DFT GGA-PBE; crystal system = monoclinic
1.0
5.549 0.000 0.000
0.000 5.183 0.000
-0.011 0.000 6.639
Sr Tb Cu N
2 2 2 4
Direct
0.000 0.001 0.250 Sr
0.000 0.999 0.750 Sr
0.500 0.500 0.250 Tb
0.500 0.500 0.750 Tb
0.500 0.000 0.000 Cu
0.500 0.000 0.500 Cu
0.283 0.274 0.000 N
0.283 0.726 0.500 N
0.717 0.274 0.500 N
0.717 0.726 0.000 N

***

SrUCuN3, relaxed, DFT GGA-PBE; crystal system = monoclinic
1.0
6.659 0.000 0.000
0.000 3.679 0.000
-2.626 0.000 8.260
Sr U Cu N
2 2 2 6
Direct
0.021 0.250 0.292 Sr
0.979 0.750 0.708 Sr
0.479 0.250 0.669 U
0.521 0.750 0.331 U
0.332 0.250 0.994 Cu
0.668 0.750 0.006 Cu
0.244 0.250 0.768 N
0.327 0.750 0.489 N
0.356 0.250 0.211 N
0.644 0.750 0.789 N
0.673 0.250 0.511 N
0.756 0.750 0.232 N

***

Sr2ZnCuN, relaxed, DFT GGA-PBE; N(E_F) = 3.978 states/eV/f.u.; crystal system = tetragonal; energy above the lowest structure with this stoichiometry = 0 kJ/mol of formula units
1.0
5.422 0.000 0.000
0.000 5.422 0.000
0.000 0.000 3.782
Sr Zn Cu N
2 1 1 1
Direct
0.000 0.500 0.000 Sr
0.500 0.000 0.000 Sr
0.000 0.000 0.500 Zn
0.500 0.500 0.500 Cu
0.500 0.500 0.000 N

***

Sr2ZnCuN, relaxed, DFT GGA-PBE; N(E_F) = 3.677 states/eV/f.u.; crystal system = tetragonal; energy above the lowest structure with this stoichiometry = 35 kJ/mol of formula units
1.0
5.334 0.000 0.000
0.000 5.334 0.000
0.000 0.000 3.961
Sr Zn Cu N
2 1 1 1
Direct
0.000 0.500 0.000 Sr
0.500 0.000 0.000 Sr
0.000 0.000 0.500 Zn
0.500 0.500 0.500 Cu
0.000 0.000 0.000 N

***

SrZr2CuN4, relaxed, DFT GGA-PBE; N(E_F) = 2.750 states/eV/f.u.; crystal system = orthorhombic
1.0
1.669 -5.603 0.000
1.669 5.603 0.000
0.000 0.000 11.358
Sr Zr Cu N
2 4 2 8
Direct
0.106 0.894 0.750 Sr
0.894 0.106 0.250 Sr
0.366 0.634 0.552 Zr
0.366 0.634 0.948 Zr
0.634 0.366 0.052 Zr
0.634 0.366 0.448 Zr
0.161 0.839 0.250 Cu
0.839 0.161 0.750 Cu
0.000 0.000 0.000 N
0.000 0.000 0.500 N
0.260 0.740 0.106 N
0.260 0.740 0.394 N
0.429 0.571 0.750 N
0.571 0.429 0.250 N
0.740 0.260 0.606 N
0.740 0.260 0.894 N

***

TaCuN2, relaxed, DFT GGA-PBE; N(E_F) = 0.000 states/eV/f.u.; crystal system = tetragonal; energy above the lowest structure with this stoichiometry = 19 kJ/mol of formula units
1.0
-2.322 2.322 4.749
2.322 -2.322 4.749
2.322 2.322 -4.749
Ta Cu N
2 2 4
Direct
0.000 0.000 0.000 Ta
0.750 0.250 0.500 Ta
0.250 0.750 0.500 Cu
0.500 0.500 0.000 Cu
0.103 0.625 0.978 N
0.375 0.353 0.478 N
0.647 0.125 0.022 N
0.875 0.897 0.522 N

***

Ta2CuN, relaxed, DFT GGA-PBE; N(E_F) = 0.958 states/eV/f.u.; crystal system = tetragonal
1.0
-2.534 2.534 5.245
2.534 -2.534 5.245
2.534 2.534 -5.245
Ta Cu N
4 2 2
Direct
0.044 0.625 0.919 Ta
0.375 0.294 0.419 Ta
0.706 0.125 0.081 Ta
0.875 0.956 0.581 Ta
0.250 0.750 0.500 Cu
0.500 0.500 0.000 Cu
0.000 0.000 0.000 N
0.750 0.250 0.500 N

***

TaCu2N, relaxed, DFT GGA-PBE; N(E_F) = 0.444 states/eV/f.u.; crystal system = tetragonal
1.0
-3.435 3.435 2.110
3.435 -3.435 2.110
3.435 3.435 -2.110
Ta Cu N
2 4 2
Direct
0.000 0.000 0.000 Ta
0.750 0.250 0.500 Ta
0.202 0.625 0.077 Cu
0.375 0.452 0.577 Cu
0.548 0.125 0.923 Cu
0.875 0.798 0.423 Cu
0.250 0.750 0.500 N
0.500 0.500 0.000 N

***

Ta2Cu2N, relaxed, DFT GGA-PBE; N(E_F) = 2.500 states/eV/f.u.; crystal system = tetragonal; energy above the lowest structure with this stoichiometry = 338 kJ/mol of formula units
1.0
-1.531 1.531 7.181
1.531 -1.531 7.181
1.531 1.531 -7.181
Ta Cu N
2 2 1
Direct
0.091 0.091 0.000 Ta
0.909 0.909 0.000 Ta
0.250 0.750 0.500 Cu
0.750 0.250 0.500 Cu
0.500 0.500 0.000 N

***

Ta2CuN, relaxed, DFT GGA-PBE; N(E_F) = 1.699 states/eV/f.u.; crystal system = trigonal
1.0
1.553 0.897 6.573
-1.553 0.897 6.573
0.000 -1.793 6.573
Ta Cu N
2 1 1
Direct
0.228 0.228 0.228 Ta
0.772 0.772 0.772 Ta
0.000 0.000 0.000 Cu
0.500 0.500 0.500 N

***

Ta2Cu2N, relaxed, DFT GGA-PBE; N(E_F) = 3.034 states/eV/f.u.; crystal system = tetragonal; energy above the lowest structure with this stoichiometry = 0 kJ/mol of formula units
1.0
5.675 0.000 0.000
0.000 5.675 0.000
0.000 0.000 4.507
Ta Cu N
4 4 2
Direct
0.173 0.327 0.000 Ta
0.327 0.827 0.000 Ta
0.673 0.173 0.000 Ta
0.827 0.673 0.000 Ta
0.146 0.646 0.500 Cu
0.354 0.146 0.500 Cu
0.646 0.854 0.500 Cu
0.854 0.354 0.500 Cu
0.000 0.000 0.000 N
0.500 0.500 0.000 N

***

TaCuN2, relaxed, DFT GGA-PBE; N(E_F) = 0.005 states/eV/f.u.; crystal system = trigonal; energy above the lowest structure with this stoichiometry = 100 kJ/mol of formula units
1.0
1.578 0.911 5.040
-1.578 0.911 5.040
0.000 -1.822 5.040
Ta Cu N
1 1 2
Direct
0.000 0.000 0.000 Ta
0.500 0.500 0.500 Cu
0.262 0.262 0.262 N
0.738 0.738 0.738 N

***

TaCuN2, relaxed, DFT GGA-PBE; N(E_F) = 0.174 states/eV/f.u.; crystal system = cubic; energy above the lowest structure with this stoichiometry = 310 kJ/mol of formula units
1.0
0.000 2.673 2.673
2.673 0.000 2.673
2.673 2.673 0.000
Ta Cu N
1 1 2
Direct
0.000 0.000 0.000 Ta
0.500 0.500 0.500 Cu
0.250 0.250 0.250 N
0.750 0.750 0.750 N

***

TaCuN2, relaxed, DFT GGA-PBE; N(E_F) = 0.000 states/eV/f.u.; crystal system = trigonal; energy above the lowest structure with this stoichiometry = 0 kJ/mol of formula units
1.0
1.577 0.911 5.848
-1.577 0.911 5.848
0.000 -1.821 5.848
Ta Cu N
1 1 2
Direct
0.000 0.000 0.000 Ta
0.500 0.500 0.500 Cu
0.394 0.394 0.394 N
0.606 0.606 0.606 N

***

TaV2CuN, relaxed, DFT GGA-PBE; N(E_F) = 4.171 states/eV/f.u.; crystal system = tetragonal
1.0
3.886 0.000 0.000
0.000 3.886 0.000
0.000 0.000 4.254
Ta V Cu N
1 2 1 1
Direct
0.000 0.000 0.000 Ta
0.000 0.500 0.500 V
0.500 0.000 0.500 V
0.500 0.500 0.000 Cu
0.000 0.000 0.500 N

***

Zr2TaCuN, relaxed, DFT GGA-PBE; N(E_F) = 3.214 states/eV/f.u.; crystal system = tetragonal
1.0
4.499 0.000 0.000
0.000 4.499 0.000
0.000 0.000 4.104
Zr Ta Cu N
2 1 1 1
Direct
0.000 0.500 0.000 Zr
0.500 0.000 0.000 Zr
0.000 0.000 0.500 Ta
0.500 0.500 0.500 Cu
0.000 0.000 0.000 N

***

Tb3CuN, relaxed, DFT GGA-PBE; N(E_F) = 5.382 states/eV/f.u.; crystal system = cubic
1.0
4.769 0.000 0.000
0.000 4.769 0.000
0.000 0.000 4.769
Tb Cu N
3 1 1
Direct
0.000 0.000 0.500 Tb
0.000 0.500 0.000 Tb
0.500 0.000 0.000 Tb
0.500 0.500 0.500 Cu
0.000 0.000 0.000 N

***

CuTc3N, relaxed, DFT GGA-PBE; N(E_F) = 3.685 states/eV/f.u.; crystal system = cubic; energy above the lowest structure with this stoichiometry = 0 kJ/mol of formula units
1.0
4.010 0.000 0.000
0.000 4.010 0.000
0.000 0.000 4.010
Cu Tc N
1 3 1
Direct
0.000 0.000 0.000 Cu
0.000 0.500 0.500 Tc
0.500 0.000 0.500 Tc
0.500 0.500 0.000 Tc
0.500 0.500 0.500 N

***

CuTcN3, relaxed, DFT GGA-PBE; N(E_F) = 2.193 states/eV/f.u.; crystal system = cubic
1.0
3.678 0.000 0.000
0.000 3.678 0.000
0.000 0.000 3.678
Cu Tc N
1 1 3
Direct
0.000 0.000 0.000 Cu
0.500 0.500 0.500 Tc
0.000 0.000 0.500 N
0.000 0.500 0.000 N
0.500 0.000 0.000 N

***

Cu2TcN, relaxed, DFT GGA-PBE; N(E_F) = 2.783 states/eV/f.u.; crystal system = tetragonal
1.0
-3.458 3.458 2.007
3.458 -3.458 2.007
3.458 3.458 -2.007
Cu Tc N
4 2 2
Direct
0.038 0.125 0.413 Cu
0.375 0.962 0.087 Cu
0.712 0.625 0.587 Cu
0.875 0.288 0.913 Cu
0.250 0.750 0.500 Tc
0.500 0.500 0.000 Tc
0.000 0.000 0.000 N
0.750 0.250 0.500 N

***

CuTcN2, relaxed, DFT GGA-PBE; N(E_F) = 2.225 states/eV/f.u.; crystal system = cubic; energy above the lowest structure with this stoichiometry = 322 kJ/mol of formula units
1.0
0.000 2.640 2.640
2.640 0.000 2.640
2.640 2.640 0.000
Cu Tc N
1 1 2
Direct
0.000 0.000 0.000 Cu
0.500 0.500 0.500 Tc
0.250 0.250 0.250 N
0.750 0.750 0.750 N

***

CuTc3N, relaxed, DFT GGA-PBE; N(E_F) = 6.276 states/eV/f.u.; crystal system = cubic; energy above the lowest structure with this stoichiometry = 1312 kJ/mol of formula units
1.0
4.452 0.000 0.000
0.000 4.452 0.000
0.000 0.000 4.452
Cu Tc N
1 3 1
Direct
0.000 0.000 0.000 Cu
0.000 0.000 0.500 Tc
0.000 0.500 0.000 Tc
0.500 0.000 0.000 Tc
0.500 0.500 0.500 N

***

Asked for DFT total energy across the records above, the calculation gives -33.33; -34.26; -15.93; -18.31; -61.03; -94.82; -18.21; -17.84; -128.33; -69.17; -71.22; -55.12; -37.72; -37.76; -82.45; -33.74; -31.56; -34.78; -44.61; -44.27; -29.37; -42.77; -29.74; -49.05; -26.94; -29.17 eV for the cell shown in order.